VASP calculation (PBE) on crystalline LaTcAu2 at its relaxed geometry.

## Properties
**Final energy**: -21.54 eV/cell
**DOS at the Fermi energy**: 5.89 states/eV/f.u.
**SG**: Fm-3m
**Magnetization**: 1.98 Bohr magnetons per cell
**Distance to the lowest polymorph of the same formula**: 153 meV per atom
**ΔH_f (0 K)**: 0.076 eV per atom
**Volume**: 21.96 A^3/atom

Unit cell a=4.9899 b=4.9899 c=4.9899 alpha=60.00 beta=60.00 gamma=60.00
With the nearest neighbours (Å) after each atom.
Element x y z (fractional)
La 0.5000 0.5000 0.5000  8 Au 3.06
Au 0.7500 0.7500 0.7500  4 La 3.06, 4 Tc 3.06
Au 0.2500 0.2500 0.2500  4 La 3.06, 4 Tc 3.06
Tc 0.0000 0.0000 0.0000  8 Au 3.06

=====

VASP calculation (PBE) on crystalline LaTc2Au at its relaxed geometry.

## Properties
**Final energy**: -25.87 eV/cell
**DOS at the Fermi energy**: 7.44 states/eV/f.u.
**SG**: R-3m
**Magnetization**: 0.00 Bohr magnetons per cell
**Distance to the lowest polymorph of the same formula**: 799 meV per atom
**ΔH_f (0 K)**: 0.768 eV per atom
**Volume**: 18.63 A^3/atom

Unit cell a=10.3377 b=10.3377 c=10.3377 alpha=16.15 beta=16.15 gamma=16.15
With the nearest neighbours (Å) after each atom.
Element x y z (fractional)
Au 0.2500 0.2500 0.2500  6 Tc 2.84, 6 Au 2.90
Tc 0.5085 0.5085 0.5085  3 Au 2.84, 6 Tc 2.90
Tc 0.9915 0.9915 0.9915  3 Au 2.84, 6 Tc 2.90
La 0.7500 0.7500 0.7500  6 La 2.90

=====

VASP calculation (PBE) on crystalline LaTcAu2 at its relaxed geometry.

## Properties
**Final energy**: -20.22 eV/cell
**DOS at the Fermi energy**: 5.48 states/eV/f.u.
**SG**: R3m
**Magnetization**: 0.22 Bohr magnetons per cell
**Distance to the lowest polymorph of the same formula**: 485 meV per atom
**ΔH_f (0 K)**: 0.408 eV per atom
**Volume**: 20.03 A^3/atom

Unit cell a=10.1522 b=10.1522 c=10.1522 alpha=17.23 beta=17.23 gamma=17.23
With the nearest neighbours (Å) after each atom.
Element x y z (fractional)
Au 0.2575 0.2575 0.2575  9 Au 2.94-3.04, 3 La 3.29
Au 0.0028 0.0028 0.0028  3 Tc 2.79, 9 Au 2.94-3.04
La 0.4979 0.4979 0.4979  6 La 3.04, 3 Tc 3.21, 3 Au 3.29
Tc 0.7418 0.7418 0.7418  3 Au 2.79, 6 Tc 3.04

=====

VASP calculation (PBE) on crystalline LaTcAu3 at its relaxed geometry.

## Properties
**Final energy**: -17.69 eV/cell
**DOS at the Fermi energy**: 8.81 states/eV/f.u.
**SG**: Pm-3m
**Magnetization**: 0.43 Bohr magnetons per cell
**Distance to the lowest polymorph of the same formula**: 1256 meV per atom
**ΔH_f (0 K)**: 1.486 eV per atom
**Volume**: 32.74 A^3/atom

Unit cell a=5.4706 b=5.4706 c=5.4706 alpha=90.00 beta=90.00 gamma=90.00
With the nearest neighbours (Å) after each atom.
Element x y z (fractional)
Au 0.0000 0.0000 0.5000  2 La 2.74
Au 0.5000 0.0000 0.0000  2 La 2.74
Au 0.0000 0.5000 0.0000  2 La 2.74
La 0.0000 0.0000 0.0000  6 Au 2.74
Tc 0.5000 0.5000 0.5000  12 Au 3.87

=====

VASP calculation (PBE) on crystalline LaTcAu at its relaxed geometry.

## Properties
**Final energy**: -17.60 eV/cell
**DOS at the Fermi energy**: 3.45 states/eV/f.u.
**SG**: F-43m
**Magnetization**: 1.10 Bohr magnetons per cell
**Distance to the lowest polymorph of the same formula**: 301 meV per atom
**ΔH_f (0 K)**: 0.324 eV per atom
**Volume**: 23.95 A^3/atom

Unit cell a=4.6664 b=4.6664 c=4.6664 alpha=60.00 beta=60.00 gamma=60.00
With the nearest neighbours (Å) after each atom.
Element x y z (fractional)
Au 0.0000 0.0000 0.0000  4 Tc 2.86
La 0.5000 0.5000 0.5000  4 Tc 2.86
Tc 0.7500 0.7500 0.7500  4 La 2.86, 4 Au 2.86

=====

VASP calculation (PBE) on crystalline LaTcAu2 at its relaxed geometry.

## Properties
**Final energy**: -21.33 eV/cell
**DOS at the Fermi energy**: 4.26 states/eV/f.u.
**SG**: F-43m
**Magnetization**: 2.49 Bohr magnetons per cell
**Distance to the lowest polymorph of the same formula**: 208 meV per atom
**ΔH_f (0 K)**: 0.130 eV per atom
**Volume**: 21.07 A^3/atom

Unit cell a=4.9214 b=4.9214 c=4.9214 alpha=60.00 beta=60.00 gamma=60.00
With the nearest neighbours (Å) after each atom.
Element x y z (fractional)
Au 0.0000 0.0000 0.0000  4 Tc 3.01, 4 Au 3.01
Au 0.2500 0.2500 0.2500  4 Au 3.01, 4 La 3.01
Tc 0.7500 0.7500 0.7500  4 La 3.01, 4 Au 3.01
La 0.5000 0.5000 0.5000  4 Au 3.01, 4 Tc 3.01